First-principles (PBE-GGA) data for crystalline Ho3Ga at its relaxed geometry, as listed in Alexandria.

Cell: 3.3808 3.4170 9.9610 Å, 90.00 90.00 90.00°
Atoms (fractional coordinates):
Ho 0.0000 0.0000 0.0000
Ho 0.0000 0.5000 0.4316
Ho 0.5000 0.5000 0.7423
Ga 0.5000 0.0000 0.2475

Output
The calculation puts the magnetic moment at 0.0 μB per formula unit. The formation energy is -0.02 eV/atom. Its symmetry is Pmm2, No. 25. The value obtained for the total energy is -4.21 eV per atom.